Density functional theory data (PBE) for Ca5ZrSb4 after structural relaxation.

Output
space group = C2/m
E_form (uncorrected) = -714 meV per atom
volume = 334.6 Å³/cell

a = 10.095 Å, b = 10.095 Å, c = 8.167 Å
α = 113.73°, β = 113.73°, γ = 26.19°
Atoms (fractional coordinates):
Ca 0.000 0.000 0.000
Ca 0.331 0.331 0.078
Ca 0.331 0.331 0.583
Ca 0.669 0.669 0.417
Ca 0.669 0.669 0.922
Zr 0.000 0.000 0.500
Sb 0.186 0.186 0.686
Sb 0.500 0.500 0.262
Sb 0.500 0.500 0.738
Sb 0.814 0.814 0.314

=====

Density functional theory data (PBE) for CaZr2Sb after structural relaxation.

Output
space group = C2/m
E_form (uncorrected) = -157 meV per atom
volume = 101.8 Å³/cell

a = 6.001 Å, b = 6.001 Å, c = 5.458 Å
α = 104.29°, β = 104.29°, γ = 32.41°
Atoms (fractional coordinates):
Ca 0.000 0.000 0.000
Zr 0.225 0.225 0.719
Zr 0.775 0.775 0.281
Sb 0.500 0.500 0.500

=====

Density functional theory data (PBE) for CaZrSb2 after structural relaxation.

Output
space group = I-4m2
excess energy over the best structure of this formula in the dataset = 287 meV/atom
E_form (uncorrected) = -513 meV per atom
volume = 101.6 Å³/cell

a = 6.202 Å, b = 6.202 Å, c = 6.202 Å
α = 139.01°, β = 139.01°, γ = 59.35°
Atoms (fractional coordinates):
Ca 0.000 0.000 0.000
Zr 0.750 0.250 0.500
Sb 0.250 0.750 0.500
Sb 0.500 0.500 0.000

=====

Density functional theory data (PBE) for Ca2ZrSb2 after structural relaxation.

Output
space group = P4/mbm
excess energy over the best structure of this formula in the dataset = 0 meV/atom
E_form (uncorrected) = -707 meV per atom
volume = 280.9 Å³/cell

a = 7.891 Å, b = 7.891 Å, c = 4.510 Å
α = 90.00°, β = 90.00°, γ = 90.00°
Atoms (fractional coordinates):
Ca 0.156 0.344 0.000
Ca 0.344 0.844 0.000
Ca 0.656 0.156 0.000
Ca 0.844 0.656 0.000
Zr 0.000 0.000 0.500
Zr 0.500 0.500 0.500
Sb 0.154 0.654 0.500
Sb 0.346 0.154 0.500
Sb 0.654 0.846 0.500
Sb 0.846 0.346 0.500